Computed, not measured: crystalline CaNiO at its relaxed geometry at the PBE+U level of DFT.

Properties
Total energy in eV/atom: -4.466

Lattice parameters (Å, degrees): 3.812 3.930 8.194 77.49 76.70 61.12
Element x y z (fractional)
Ca 0.000 0.000 0.000
Ca 0.439 0.437 0.683
Ni 0.231 0.277 0.265
Ni 0.863 0.891 0.388
O 0.101 0.083 0.713
O 0.326 0.343 0.007